(1)
The following is a PBE calculation of an optimized crystal structure of Cu3Ag2, from OQMD.

Summary:
E above lowest polymorph ... 53 meV/atom
Crystal system ... monoclinic
E_form ... 94.9 meV per atom
Volume ... 143.9 Å³/cell

Lattice parameters (Å, degrees): 4.7145 2.7604 11.1289 90.00 96.43 90.00
Element x y z (fractional)
Cu1 0.0498 0.2500 0.4108
Cu2 0.3324 0.7500 0.7763
Cu3 0.4370 0.2500 0.5898
Cu4 0.5630 0.7500 0.4102
Cu5 0.6676 0.2500 0.2237
Cu6 0.9502 0.7500 0.5892
Ag1 0.1710 0.7500 0.2147
Ag2 0.2502 0.2500 0.9869
Ag3 0.7498 0.7500 0.0131
Ag4 0.8290 0.2500 0.7853

=====

(2)
The following is a PBE calculation of an optimized crystal structure of Cu3Ag5, from OQMD.

Summary:
E above lowest polymorph ... 55 meV/atom
Crystal system ... monoclinic
E_form ... 91.7 meV per atom
Volume ... 125.4 Å³/cell

Lattice parameters (Å, degrees): 4.8411 4.8411 7.9856 114.41 114.41 48.75
Element x y z (fractional)
Cu1 0.0000 0.0000 0.0000
Cu2 0.5000 0.5000 0.2438
Cu3 0.5000 0.5000 0.7562
Ag1 0.0000 0.0000 0.5000
Ag2 0.2449 0.2449 0.3672
Ag3 0.2550 0.2550 0.8822
Ag4 0.7450 0.7450 0.1178
Ag5 0.7551 0.7551 0.6328

=====

(3)
The following is a PBE calculation of an optimized crystal structure of Cu4Ag5, from OQMD.

Summary:
E above lowest polymorph ... 52 meV/atom
Crystal system ... monoclinic
E_form ... 89.7 meV per atom
Volume ... 137.9 Å³/cell

Lattice parameters (Å, degrees): 5.9773 5.9773 8.6784 104.12 104.12 27.34
Element x y z (fractional)
Cu1 0.0000 0.0000 0.0000
Cu2 0.0045 0.0045 0.3497
Cu3 0.3293 0.3293 0.8076
Cu4 0.6710 0.6710 0.9078
Ag1 0.3398 0.3398 0.4522
Ag2 0.3440 0.3440 0.1214
Ag3 0.6545 0.6545 0.2230
Ag4 0.6690 0.6690 0.5769
Ag5 0.9979 0.9979 0.6999

=====

- Which of these has the lowest E_form?
  Cu4Ag5